## NaCd2Au2 (GGA-PBE)

Data for NaCd2Au2 after structural relaxation.

Computed properties:
The space-group type is P4/mbm (127). For the formation enthalpy at 0 K, the calculation gives -0.25 eV per atom. As for the density: 9.971 g/cm3.

a b c (Å): 8.344 8.344 3.070
angles (deg): 90.00 90.00 90.00
Element x y z (fractional)
1 Na 0.000 0.000 0.000
2 Na 0.500 0.500 0.000
3 Cd 0.129 0.371 0.000
4 Cd 0.371 0.871 0.000
5 Cd 0.629 0.129 0.000
6 Cd 0.871 0.629 0.000
7 Au 0.170 0.670 0.500
8 Au 0.330 0.170 0.500
9 Au 0.670 0.830 0.500
10 Au 0.830 0.330 0.500